Record 1
Compound: Er4Te2CSe
Source: Alexandria via LeMat-Bulk
Functional: GGA-PBE
Structure: optimized geometry

The calculation puts the total energy at -47.0 eV per formula unit. The space group is P2/m. The calculation puts the uncorrected formation energy at -9.72 eV per formula unit. As for the density of states at the Fermi level: 2.75 states/eV/f.u. For the theoretical density, the calculation gives 8.79 g cm⁻³.

abc: 3.9523 7.2792 7.0188
angles: 71.75 90.00 90.00
Last column: nearest neighbours and their distance in Å.
Fractional coordinates of all 8 atoms:
Er 0.0000 0.7013 0.7272  1 C 2.48
Er 0.0000 0.2987 0.2728  1 C 2.48
Er 0.5000 0.6940 0.2968  2 C 2.58, 1 Se 2.86
Er 0.5000 0.3060 0.7032  2 C 2.58, 1 Se 2.86
Te 0.0000 0.0000 0.0000  6 Er 3.21-3.32
Te 0.5000 0.0000 0.5000  6 Er 3.00
C 0.0000 0.5000 0.5000  6 Er 2.48-2.58
Se 0.5000 0.5000 0.0000  6 Er 2.82-2.86

---

Record 2
Compound: Nd2DyPaSb5
Source: Alexandria via LeMat-Bulk
Functional: GGA-PBE
Structure: optimized geometry

The calculation puts the total energy at -46.0 eV per formula unit. The space group is P4/mmm. The calculation puts the uncorrected formation energy at -1.80 eV per formula unit. As for the density of states at the Fermi level: 6.46 states/eV/f.u. For the theoretical density, the calculation gives 6.13 g cm⁻³.

abc: 5.4824 5.4824 11.6286
angles: 90.00 90.00 90.00
Last column: nearest neighbours and their distance in Å.
Fractional coordinates of all 9 atoms:
Nd 0.5000 0.5000 0.2766  1 Sb 3.22
Nd 0.5000 0.5000 0.7234  1 Sb 3.22
Dy 0.0000 0.0000 0.0000  2 Sb 2.87
Pa 0.0000 0.0000 0.5000  6 Sb 2.74-2.95
Sb 0.0000 0.5000 0.5000  2 Pa 2.74
Sb 0.5000 0.0000 0.5000  2 Pa 2.74
Sb 0.0000 0.0000 0.7535  1 Dy 2.87, 1 Pa 2.95
Sb 0.0000 0.0000 0.2465  1 Dy 2.87, 1 Pa 2.95
Sb 0.5000 0.5000 0.0000  2 Nd 3.22

---

Record 3
Compound: Li2BiAu4
Source: Alexandria via LeMat-Bulk
Functional: GGA-PBE
Structure: optimized geometry

The calculation puts the total energy at -22.5 eV per formula unit. The space group is I4/mmm. As for the density of states at the Fermi level: 1.81 states/eV/f.u. For the theoretical density, the calculation gives 11.15 g cm⁻³. The formation energy is -237 meV/atom.

abc: 3.8834 3.8834 10.3488
angles: 100.81 100.81 90.00
Last column: nearest neighbours and their distance in Å.
Fractional coordinates of all 7 atoms:
Li 0.6333 0.6333 0.2665  8 Au 2.75-3.03
Li 0.3667 0.3667 0.7335  8 Au 2.75-3.03
Bi 0.0000 0.0000 0.0000  2 Au 2.81
Au 0.1407 0.1407 0.2815  4 Li 2.75, 1 Bi 2.81, 4 Au 2.92
Au 0.8593 0.8593 0.7185  4 Li 2.75, 1 Bi 2.81, 4 Au 2.92
Au 0.7500 0.2500 0.5000  8 Au 2.75-2.92, 4 Li 3.03
Au 0.2500 0.7500 0.5000  8 Au 2.75-2.92, 4 Li 3.03

---

Record 4
Compound: La4Tb3Nd4
Source: Alexandria via LeMat-Bulk
Functional: GGA-PBE
Structure: optimized geometry

The calculation puts the total energy at -51.4 eV per formula unit. The space group is Immm. As for the density of states at the Fermi level: 16.38 states/eV/f.u. For the theoretical density, the calculation gives 6.75 g cm⁻³. The formation energy is 116 meV/atom.

abc: 3.6812 9.6691 12.2640
angles: 113.22 98.63 90.00
Last column: nearest neighbours and their distance in Å.
Fractional coordinates of all 11 atoms:
La 0.6445 0.4760 0.2890  1 La 3.26, 3 Nd 3.50-3.65
La 0.3555 0.1870 0.7110  1 La 3.26, 3 Nd 3.50-3.65
La 0.3555 0.5240 0.7110  1 La 3.26, 3 Nd 3.50-3.65
La 0.6445 0.8130 0.2890  1 La 3.26, 3 Nd 3.50-3.65
Tb 0.8964 0.8964 0.7928  6 Nd 3.44-3.47, 2 Tb 3.68, 4 La 3.81
Tb 0.1036 0.1036 0.2072  6 Nd 3.44-3.47, 2 Tb 3.68, 4 La 3.81
Tb 0.0000 0.5000 0.0000  4 Nd 3.53, 2 Tb 3.68
Nd 0.7343 0.2343 0.4686  2 Tb 3.44, 6 La 3.65-3.78, 2 Nd 3.68
Nd 0.2657 0.7657 0.5314  2 Tb 3.44, 6 La 3.65-3.78, 2 Nd 3.68
Nd 0.5000 0.8114 0.0000  6 Tb 3.47-3.53, 2 La 3.50, 3 Nd 3.65-3.68
Nd 0.5000 0.1886 0.0000  6 Tb 3.47-3.53, 2 La 3.50, 3 Nd 3.65-3.68